Record 1
DFT (PBE) results for crystalline Ac5LaEr at its relaxed geometry.

Its total energy is -3.4430 eV per atom.

It has space group Immm (No. 71), with a = 6.1887 Å, b = 9.7375 Å, c = 12.9405 Å, α = 90.00°, β = 90.00° and γ = 90.00°. The inequivalent atoms are Ac at (0.0000, 0.0000, 0.0000), Ac at (0.0000, 0.1855, 0.5000), Ac at (0.0000, 0.5000, 0.2512), La at (0.0000, 0.5000, 0.0000) and Er at (0.0000, 0.5000, 0.5000).


Record 2
DFT (PBE) results for crystalline La2MgPb9 at its relaxed geometry.

Its total energy is -4.0212 eV per atom.

It has space group P4/mmm (No. 123), with a = 4.9206 Å, b = 4.9206 Å, c = 14.9167 Å, α = 90.00°, β = 90.00° and γ = 90.00°. The inequivalent atoms are La at (0.0000, 0.0000, 0.1619), Mg at (0.0000, 0.0000, 0.5000), Pb at (0.0000, 0.5000, 0.0000), Pb at (0.0000, 0.5000, 0.3414), Pb at (0.5000, 0.5000, 0.1716) and Pb at (0.5000, 0.5000, 0.5000).


Record 3
DFT (PBE) results for crystalline InFe2Co2 at its relaxed geometry.

Its total energy is -6.3149 eV per atom. The energy above the most stable polymorph in this dataset is 0.1331 eV/atom.

It has space group I4/mmm (No. 139), with a = 3.3558 Å, b = 3.3558 Å, c = 11.5241 Å, α = 90.00°, β = 90.00° and γ = 90.00°. The inequivalent atoms are In at (0.0000, 0.0000, 0.0000), Fe at (0.0000, 0.5000, 0.2500) and Co at (0.0000, 0.0000, 0.3955).


Record 4
DFT (PBE) results for crystalline SnBRh3 at its relaxed geometry.

Its total energy is -6.8327 eV per atom.

It has space group P2_1/m (No. 11), with a = 4.9156 Å, b = 5.6446 Å, c = 5.4195 Å, α = 90.00°, β = 104.91° and γ = 90.00°. The inequivalent atoms are Sn at (0.1080, 0.2500, 0.3082), B at (0.3968, 0.7500, 0.0117), Rh at (0.0836, 0.7500, 0.2106) and Rh at (0.4071, 0.5016, 0.7254).


| no. | energy relative to the elements (meV per atom) |
| --- | --- |
| 1 | 847.4 |
| 2 | -285.8 |
| 3 | 460.2 |
| 4 | -285.8 |